Material: InSb2Ir
Method: DFT, PBE-GGA
State: relaxed

Output
ΔE_f (raw): 7.7 meV/atom
Final energy: -19.813 eV for the cell shown
ρ: 9.6 g cm⁻³
Space-group type: Immm, No. 71

abc: 6.845 6.845 6.845
angles: 151.64 141.20 48.75
Fractional coordinates of all 4 atoms:
In: 0.000 0.000 0.000
Sb: 0.322 0.822 0.500
Sb: 0.678 0.178 0.500
Ir: 0.500 0.500 0.000


Material: InSb2Ir
Method: DFT, PBE-GGA
State: relaxed

Output
ΔE_f (raw): 94.6 meV/atom
Final energy: -19.466 eV for the cell shown
ρ: 9.7 g cm⁻³
Space-group type: P4mm, No. 99

abc: 3.165 3.165 9.362
angles: 90.00 90.00 90.00
Fractional coordinates of all 4 atoms:
In: 0.000 0.000 0.000
Sb: 0.000 0.000 0.380
Sb: 0.500 0.500 0.726
Ir: 0.500 0.500 0.204


Material: InSbIr2
Method: DFT, PBE-GGA
State: relaxed

Output
ΔE_f (raw): 190.5 meV/atom
Final energy: -23.821 eV for the cell shown
ρ: 13.3 g cm⁻³
Space-group type: P4mm, No. 99
Excess energy over the best structure of this formula in the dataset: 124.1 meV/atom

abc: 3.064 3.064 8.277
angles: 90.00 90.00 90.00
Fractional coordinates of all 4 atoms:
In: 0.000 0.000 0.000
Sb: 0.500 0.500 0.642
Ir: 0.000 0.000 0.438
Ir: 0.500 0.500 0.216


Material: InSbIr2
Method: DFT, PBE-GGA
State: relaxed

Output
ΔE_f (raw): 211.1 meV/atom
Final energy: -23.739 eV for the cell shown
ρ: 14.4 g cm⁻³
Space-group type: I-4m2, No. 119
Excess energy over the best structure of this formula in the dataset: 144.6 meV/atom

abc: 5.459 5.459 5.459
angles: 138.11 138.11 60.73
Fractional coordinates of all 4 atoms:
In: 0.000 0.000 0.000
Sb: 0.750 0.250 0.500
Ir: 0.250 0.750 0.500
Ir: 0.500 0.500 0.000


Material: InSbIr2
Method: DFT, PBE-GGA
State: relaxed

Output
ΔE_f (raw): 143.1 meV/atom
Final energy: -24.010 eV for the cell shown
ρ: 14.5 g cm⁻³
Space-group type: P4/mmm, No. 123
Excess energy over the best structure of this formula in the dataset: 76.7 meV/atom

abc: 4.396 4.396 3.682
angles: 90.00 90.00 90.00
Fractional coordinates of all 4 atoms:
In: 0.000 0.000 0.000
Sb: 0.500 0.500 0.000
Ir: 0.000 0.500 0.500
Ir: 0.500 0.000 0.500


Material: InSb2Ir2
Method: DFT, PBE-GGA
State: relaxed

Output
ΔE_f (raw): 140.4 meV/atom
Final energy: -56.006 eV for the cell shown
ρ: 12.2 g cm⁻³
Space-group type: P4/mbm, No. 127
Excess energy over the best structure of this formula in the dataset: 0.0 meV/atom

abc: 7.970 7.970 3.184
angles: 90.00 90.00 90.00
Fractional coordinates of all 10 atoms:
In: 0.000 0.000 0.000
In: 0.500 0.500 0.000
Sb: 0.154 0.346 0.500
Sb: 0.346 0.846 0.500
Sb: 0.654 0.154 0.500
Sb: 0.846 0.654 0.500
Ir: 0.134 0.634 0.000
Ir: 0.366 0.134 0.000
Ir: 0.634 0.866 0.000
Ir: 0.866 0.366 0.000


Material: InSb4Ir
Method: DFT, PBE-GGA
State: relaxed

Output
ΔE_f (raw): 830.5 meV/atom
Final energy: -23.106 eV for the cell shown
ρ: 8.2 g cm⁻³
Space-group type: F-43m, No. 216

abc: 6.102 6.102 6.102
angles: 60.00 60.00 60.00
Fractional coordinates of all 6 atoms:
In: 0.000 0.000 0.000
Sb: 0.374 0.374 0.374
Sb: 0.374 0.374 0.877
Sb: 0.374 0.877 0.374
Sb: 0.877 0.374 0.374
Ir: 0.750 0.750 0.750


Material: In2SbIrSe
Method: DFT, PBE-GGA
State: relaxed

Output
ΔE_f (raw): 1152.1 meV/atom
Final energy: -16.184 eV for the cell shown
ρ: 7.2 g cm⁻³
Space-group type: P4/mmm, No. 123

abc: 5.196 5.196 5.331
angles: 90.00 90.00 90.00
Fractional coordinates of all 5 atoms:
In: 0.000 0.500 0.000
In: 0.500 0.000 0.000
Sb: 0.000 0.000 0.500
Ir: 0.500 0.500 0.500
Se: 0.000 0.000 0.000


Material: InSbTe2Ir
Method: DFT, PBE-GGA
State: relaxed

Output
ΔE_f (raw): 329.0 meV/atom
Final energy: -20.360 eV for the cell shown
ρ: 7.4 g cm⁻³
Space-group type: P4/mmm, No. 123
Excess energy over the best structure of this formula in the dataset: 0.0 meV/atom

abc: 5.560 5.560 4.951
angles: 90.00 90.00 90.00
Fractional coordinates of all 5 atoms:
In: 0.000 0.000 0.000
Sb: 0.500 0.500 0.000
Te: 0.000 0.500 0.500
Te: 0.500 0.000 0.500
Ir: 0.500 0.500 0.500


Material: InSbIr2W
Method: DFT, PBE-GGA
State: relaxed

Output
ΔE_f (raw): 2345.2 meV/atom
Final energy: -25.810 eV for the cell shown
ρ: 10.9 g cm⁻³
Space-group type: P4/mmm, No. 123

abc: 4.842 4.842 5.210
angles: 90.00 90.00 90.00
Fractional coordinates of all 5 atoms:
In: 0.000 0.000 0.000
Sb: 0.000 0.000 0.500
Ir: 0.000 0.500 0.000
Ir: 0.500 0.000 0.000
W: 0.500 0.500 0.500


Material: Sc4InIr5
Method: DFT, PBE-GGA
State: relaxed

Output
Final energy: -80.667 eV for the cell shown
ρ: 12.3 g cm⁻³
Space-group type: P4/mmm, No. 123

abc: 3.160 3.160 16.922
angles: 90.00 90.00 90.00
Fractional coordinates of all 10 atoms:
Sc: 0.000 0.000 0.100
Sc: 0.000 0.000 0.299
Sc: 0.000 0.000 0.701
Sc: 0.000 0.000 0.900
In: 0.000 0.000 0.500
Ir: 0.500 0.500 0.000
Ir: 0.500 0.500 0.198
Ir: 0.500 0.500 0.396
Ir: 0.500 0.500 0.604
Ir: 0.500 0.500 0.802


Material: Sc3InIr2
Method: DFT, PBE-GGA
State: relaxed

Output
Final energy: -44.448 eV for the cell shown
ρ: 9.3 g cm⁻³
Space-group type: P4/mmm, No. 123

abc: 3.158 3.158 11.393
angles: 90.00 90.00 90.00
Fractional coordinates of all 6 atoms:
Sc: 0.000 0.000 0.000
Sc: 0.000 0.000 0.294
Sc: 0.000 0.000 0.706
In: 0.500 0.500 0.500
Ir: 0.500 0.500 0.150
Ir: 0.500 0.500 0.850